This record from Alexandria via LeMat-Bulk describes a relaxed structure of MnBrNO2. The functional is PBE with a Hubbard U.

Results
ρ (Mg/m³): 5.28
Final energy (Ry/atom): -0.3441
V (Å³/atom): 11.4
Total moment (μB/f.u.): 0.0

a b c (Å): 3.543 3.543 4.529
angles (deg): 90.00 90.00 90.00
Fractional coordinates of all 5 atoms:
1 Br 0.500 0.500 0.500
2 O 0.000 0.500 0.000
3 Mn 0.000 0.000 0.000
4 N 0.000 0.000 0.500
5 O 0.500 0.000 0.000